# 1
Below is crystalline K3Mn2InF9 at its relaxed geometry, with properties calculated at the PBE with a Hubbard U level.

a b c (Å): 6.1482 6.1482 7.6133
angles (deg): 90.00 90.00 120.00
Space group P-3m1 (No. 164)
One atom of each set of equivalent atoms:
K (0.0000, 0.0000, 0.0000) [1 per cell]
K (0.3333, 0.6667, 0.6775) [2 per cell]
Mn (0.3333, 0.6667, 0.1575) [2 per cell]
In (0.0000, 0.0000, 0.5000) [1 per cell]
F (0.0000, 0.5000, 0.0000) [3 per cell]
F (0.1719, 0.3437, 0.3202) [6 per cell]

Results
The value obtained for the size of the total moment is 9.4 μB/f.u. As for the mass density: 3.42 Mg/m³. For the energy, the calculation gives -5.140 eV/atom.

# 2
Below is crystalline KMn2InF8 at its relaxed geometry, with properties calculated at the PBE with a Hubbard U level.

a b c (Å): 5.1548 7.0340 5.1593
angles (deg): 90.00 91.47 90.00
Space group P2/m (No. 10)
One atom of each set of equivalent atoms:
K (0.0000, 0.0000, 0.0000) [1 per cell]
Mn (0.5000, 0.2468, 0.5000) [2 per cell]
In (0.0000, 0.5000, 0.0000) [1 per cell]
F (0.2080, 0.2927, 0.2103) [4 per cell]
F (0.2971, 0.5000, 0.7049) [2 per cell]
F (0.3345, 0.0000, 0.6696) [2 per cell]

Results
The value obtained for the size of the total moment is 10.0 μB/f.u. As for the mass density: 3.69 Mg/m³. For the energy, the calculation gives -5.445 eV/atom.

# 3
Below is crystalline K2MnInF at its relaxed geometry, with properties calculated at the PBE with a Hubbard U level.

a b c (Å): 6.6518 6.6518 5.1521
angles (deg): 90.00 90.00 90.00
Space group P4/mmm (No. 123)
One atom of each set of equivalent atoms:
K (0.0000, 0.5000, 0.0000) [2 per cell]
Mn (0.0000, 0.0000, 0.0000) [1 per cell]
In (0.0000, 0.0000, 0.5000) [1 per cell]
F (0.5000, 0.5000, 0.5000) [1 per cell]

Results
The value obtained for the size of the total moment is 3.5 μB/f.u. As for the mass density: 1.94 Mg/m³. For the energy, the calculation gives -2.954 eV/atom.